# 1
4
Lattice="-1.7947 1.7947 4.3176 1.7947 -1.7947 4.3176 1.7947 1.7947 -4.3176" Properties=species:S:1:pos:R:3 comment="Li2OsRh | Alexandria via LeMat-Bulk | GGA-PBE | relaxed" mass_density_g_cm3=9.2 formation_enthalpy_0k_mev_per_atom=272 polymorph_energy_ev_per_fu=1.21 crystal_system=tetragonal m_tot_mub_per_fu=0.0 pbc="T T T"
Li 1.7947 0.0000 2.1588
Li 0.0000 1.7947 2.1588
Os 0.0000 0.0000 0.0000
Rh 0.0000 0.0000 4.3176

***

# 2
4
Lattice="1.3455 0.7768 9.0773 -1.3455 0.7768 9.0773 0.0000 -1.5537 9.0773" Properties=species:S:1:pos:R:3 comment="LiOs2Rh | Alexandria via LeMat-Bulk | GGA-PBE | relaxed" mass_density_g_cm3=14.3 formation_enthalpy_0k_mev_per_atom=200 polymorph_energy_ev_per_fu=0.34 crystal_system=trigonal m_tot_mub_per_fu=0.0 pbc="T T T"
Li 0.0000 0.0000 0.0000
Os 0.0000 0.0000 6.7491
Os 0.0000 0.0000 20.4828
Rh 0.0000 0.0000 13.6159